# Sr3AsPt

A crystal of Sr3AsPt relaxed with PBEsol (meta-GGA SCAN, the Alexandria database).

Lattice parameters (Å, degrees): 5.7215 5.7215 5.7215 90.00 90.00 90.00
Element x y z (fractional)
Sr  0.5000  0.0000  0.0000
As  0.0000  0.0000  0.0000
Sr  0.0000  0.0000  0.5000
Pt  0.5000  0.5000  0.5000
Sr  0.0000  0.5000  0.0000

Summary:
- VASP energy: -31.8516 eV per atom



# Tc2AsPt

A crystal of Tc2AsPt relaxed with PBEsol (meta-GGA SCAN, the Alexandria database).

Lattice parameters (Å, degrees): 2.8400 4.5562 4.7597 94.01 107.36 90.00
Element x y z (fractional)
Tc  0.2652  0.7585  0.5304
Pt  0.7320  0.2389  0.4639
Tc  0.9934  0.9786  0.9869
As  0.5094  0.5241  0.0188

Summary:
- VASP energy: -40.1604 eV per atom



# Tc2AsPt

A crystal of Tc2AsPt relaxed with PBEsol (meta-GGA SCAN, the Alexandria database).

Lattice parameters (Å, degrees): 3.7649 3.7649 4.0924 90.00 90.00 90.00
Element x y z (fractional)
As  0.5000  0.5000  0.5000
Pt  0.0000  0.0000  0.5000
Tc  0.0000  0.5000  0.0000
Tc  0.5000  0.0000  0.0000

Summary:
- VASP energy: -39.9439 eV per atom



# Te2AsPt

A crystal of Te2AsPt relaxed with PBEsol (meta-GGA SCAN, the Alexandria database).

Lattice parameters (Å, degrees): 6.2264 6.2264 7.5460 114.37 114.37 90.00
Element x y z (fractional)
Te  0.9074  0.3750  0.2500
Te  0.3426  0.8750  0.2500
Te  0.1250  0.0926  0.7500
Pt  0.2500  0.7500  0.5000
Te  0.6250  0.6574  0.7500
As  0.7500  0.2500  0.5000
As  0.5000  0.5000  0.0000
Pt  0.0000  0.0000  0.0000

Summary:
- VASP energy: -41.1853 eV per atom
- ΔE_f (raw): 36 meV per atom



# Te2AsPt

A crystal of Te2AsPt relaxed with PBEsol (meta-GGA SCAN, the Alexandria database).

Lattice parameters (Å, degrees): 3.6628 3.6628 9.0492 78.32 78.32 60.00
Element x y z (fractional)
Te  0.0949  0.0949  0.7152
Pt  0.0000  0.0000  0.0000
As  0.5000  0.5000  0.5000
Te  0.9051  0.9051  0.2848

Summary:
- VASP energy: -40.7982 eV per atom
- ΔE_f (raw): 423 meV per atom



# TeAsPt2

A crystal of TeAsPt2 relaxed with PBEsol (meta-GGA SCAN, the Alexandria database).

Lattice parameters (Å, degrees): 3.8550 3.8550 6.7554 73.42 73.42 60.00
Element x y z (fractional)
Pt  0.9961  0.9961  0.0118
As  0.2806  0.2806  0.1581
Pt  0.7434  0.7434  0.7699
Te  0.4799  0.4799  0.5603

Summary:
- VASP energy: -49.8860 eV per atom
- ΔE_f (raw): -429 meV per atom



# TeAsPt

A crystal of TeAsPt relaxed with PBEsol (meta-GGA SCAN, the Alexandria database).

Lattice parameters (Å, degrees): 4.5733 4.5733 4.5733 60.00 60.00 60.00
Element x y z (fractional)
Te  0.2500  0.2500  0.2500
Pt  0.5000  0.5000  0.5000
As  0.0000  0.0000  0.0000

Summary:
- VASP energy: -42.0973 eV per atom
- ΔE_f (raw): 448 meV per atom



# Te2AsPt

A crystal of Te2AsPt relaxed with PBEsol (meta-GGA SCAN, the Alexandria database).

Lattice parameters (Å, degrees): 3.7899 4.3567 6.5051 109.56 106.94 90.00
Element x y z (fractional)
Pt  0.0000  0.5000  0.0000
Te  0.3358  0.3358  0.6716
Te  0.6642  0.6642  0.3284
As  0.5000  0.0000  0.0000

Summary:
- VASP energy: -41.3000 eV per atom
- ΔE_f (raw): -79 meV per atom



# TeAsPt

A crystal of TeAsPt relaxed with PBEsol (meta-GGA SCAN, the Alexandria database).

Lattice parameters (Å, degrees): 3.8803 3.8803 4.8858 90.00 90.00 120.00
Element x y z (fractional)
Pt  0.3333  0.6667  0.6868
As  0.0000  0.0000  0.9242
Te  0.6667  0.3333  0.3890

Summary:
- VASP energy: -42.9759 eV per atom
- ΔE_f (raw): -431 meV per atom



# TeAsPt2

A crystal of TeAsPt2 relaxed with PBEsol (meta-GGA SCAN, the Alexandria database).

Lattice parameters (Å, degrees): 4.6697 4.6697 4.6697 60.00 60.00 60.00
Element x y z (fractional)
Pt  0.0000  0.0000  0.0000
Pt  0.2500  0.2500  0.2500
Te  0.7500  0.7500  0.7500
As  0.5000  0.5000  0.5000

Summary:
- VASP energy: -49.0828 eV per atom
- ΔE_f (raw): 374 meV per atom



# Te2AsPt

A crystal of Te2AsPt relaxed with PBEsol (meta-GGA SCAN, the Alexandria database).

Lattice parameters (Å, degrees): 3.4206 3.4206 7.1467 90.00 90.00 90.00
Element x y z (fractional)
Pt  0.5000  0.5000  0.5000
Te  0.0000  0.0000  0.2652
As  0.5000  0.5000  0.0000
Te  0.0000  0.0000  0.7348

Summary:
- VASP energy: -40.8735 eV per atom
- ΔE_f (raw): 348 meV per atom



# TeAsPt2

A crystal of TeAsPt2 relaxed with PBEsol (meta-GGA SCAN, the Alexandria database).

Lattice parameters (Å, degrees): 3.3468 3.3468 6.3487 90.00 90.00 90.00
Element x y z (fractional)
As  0.5000  0.5000  0.5000
Te  0.5000  0.5000  0.0000
Pt  0.0000  0.0000  0.7250
Pt  0.0000  0.0000  0.2750

Summary:
- VASP energy: -49.3799 eV per atom
- ΔE_f (raw): 77 meV per atom



# TeAsPt2

A crystal of TeAsPt2 relaxed with PBEsol (meta-GGA SCAN, the Alexandria database).

Lattice parameters (Å, degrees): 3.8309 3.8240 6.3589 107.50 90.00 120.06
Element x y z (fractional)
As  0.5000  0.0000  0.0000
Pt  0.7625  0.5250  0.7865
Te  0.0000  0.0000  0.5000
Pt  0.2375  0.4750  0.2135

Summary:
- VASP energy: -49.7470 eV per atom
- ΔE_f (raw): -290 meV per atom



# TlAs3Pt

A crystal of TlAs3Pt relaxed with PBEsol (meta-GGA SCAN, the Alexandria database).

Lattice parameters (Å, degrees): 4.9297 4.9297 4.9297 90.00 90.00 90.00
Element x y z (fractional)
As  0.0000  0.5000  0.0000
Tl  0.5000  0.5000  0.5000
Pt  0.0000  0.0000  0.0000
As  0.5000  0.0000  0.0000
As  0.0000  0.0000  0.5000

Summary:
- VASP energy: -40.1417 eV per atom



# TlAsPt

A crystal of TlAsPt relaxed with PBEsol (meta-GGA SCAN, the Alexandria database).

Lattice parameters (Å, degrees): 3.2485 3.2485 6.5031 104.46 104.46 90.00
Element x y z (fractional)
As  0.0464  0.0464  0.0929
Pt  0.6346  0.6346  0.2692
Tl  0.3190  0.3190  0.6379

Summary:
- VASP energy: -54.3792 eV per atom



# TlAsPt

A crystal of TlAsPt relaxed with PBEsol (meta-GGA SCAN, the Alexandria database).

Lattice parameters (Å, degrees): 3.5837 3.5837 5.7297 90.00 90.00 120.00
Element x y z (fractional)
As  0.0000  0.0000  0.9354
Tl  0.6667  0.3333  0.3537
Pt  0.3333  0.6667  0.7108

Summary:
- VASP energy: -54.4417 eV per atom



# TlAs2Pt

A crystal of TlAs2Pt relaxed with PBEsol (meta-GGA SCAN, the Alexandria database).

Lattice parameters (Å, degrees): 2.9086 5.4812 5.9550 117.40 104.14 90.00
Element x y z (fractional)
As  0.2078  0.2078  0.4156
Pt  0.5000  0.0000  0.0000
Tl  0.0000  0.5000  0.0000
As  0.7922  0.7922  0.5844

Summary:
- VASP energy: -45.6829 eV per atom



# TlAs2Pt

A crystal of TlAs2Pt relaxed with PBEsol (meta-GGA SCAN, the Alexandria database).

Lattice parameters (Å, degrees): 4.0743 4.0743 4.6070 90.00 90.00 90.00
Element x y z (fractional)
Pt  0.5000  0.5000  0.5000
Tl  0.0000  0.0000  0.5000
As  0.5000  0.0000  0.0000
As  0.0000  0.5000  0.0000

Summary:
- VASP energy: -45.3515 eV per atom



# TlAsPt2

A crystal of TlAsPt2 relaxed with PBEsol (meta-GGA SCAN, the Alexandria database).

Lattice parameters (Å, degrees): 3.3401 4.6101 5.4292 100.34 90.00 111.24
Element x y z (fractional)
Pt  0.0080  0.0160  0.0500
Tl  0.5050  0.0100  0.5313
As  0.7277  0.4554  0.1295
Pt  0.2593  0.5186  0.7892

Summary:
- VASP energy: -58.3279 eV per atom



# TlAsPt2

A crystal of TlAsPt2 relaxed with PBEsol (meta-GGA SCAN, the Alexandria database).

Lattice parameters (Å, degrees): 3.5057 3.5057 5.8865 90.00 90.00 90.00
Element x y z (fractional)
Pt  0.5000  0.5000  0.2400
As  0.5000  0.5000  0.8286
Pt  0.0000  0.0000  0.9633
Tl  0.0000  0.0000  0.4681

Summary:
- VASP energy: -58.3422 eV per atom



# TlAs2Pt

A crystal of TlAs2Pt relaxed with PBEsol (meta-GGA SCAN, the Alexandria database).

Lattice parameters (Å, degrees): 3.7909 4.6489 4.6489 108.43 90.00 90.00
Element x y z (fractional)
Pt  0.5000  0.0000  0.0000
As  0.0000  0.0000  0.5000
As  0.0000  0.5000  0.0000
Tl  0.5000  0.5000  0.5000

Summary:
- VASP energy: -45.3985 eV per atom



# TlAs2Pt

A crystal of TlAs2Pt relaxed with PBEsol (meta-GGA SCAN, the Alexandria database).

Lattice parameters (Å, degrees): 3.0786 3.0786 8.5808 90.00 90.00 90.00
Element x y z (fractional)
As  0.0000  0.0000  0.8136
As  0.0000  0.0000  0.1863
Tl  0.5000  0.5000  0.5000
Pt  0.5000  0.5000  0.0000

Summary:
- VASP energy: -45.7254 eV per atom



# TlAsPt

A crystal of TlAsPt relaxed with PBEsol (meta-GGA SCAN, the Alexandria database).

Lattice parameters (Å, degrees): 4.4794 4.4794 4.4794 60.00 60.00 60.00
Element x y z (fractional)
Tl  0.0000  0.0000  0.0000
As  0.5000  0.5000  0.5000
Pt  0.2500  0.2500  0.2500

Summary:
- VASP energy: -54.2857 eV per atom



# TlAs2Pt

A crystal of TlAs2Pt relaxed with PBEsol (meta-GGA SCAN, the Alexandria database).

Lattice parameters (Å, degrees): 4.7534 4.7534 4.7534 60.00 60.00 60.00
Element x y z (fractional)
Tl  0.7500  0.7500  0.7500
As  0.2500  0.2500  0.2500
Pt  0.5000  0.5000  0.5000
As  0.0000  0.0000  0.0000

Summary:
- VASP energy: -45.3285 eV per atom



# AsPt2W

A crystal of AsPt2W relaxed with PBEsol (meta-GGA SCAN, the Alexandria database).

Lattice parameters (Å, degrees): 2.7257 4.4177 6.1717 110.97 102.76 90.00
Element x y z (fractional)
Pt  0.7802  0.2802  0.5604
W  0.4781  0.4781  0.9563
As  0.1959  0.6959  0.3917
Pt  0.0458  0.0458  0.0916

Summary:
- VASP energy: -57.5904 eV per atom



# AsPt2W

A crystal of AsPt2W relaxed with PBEsol (meta-GGA SCAN, the Alexandria database).

Lattice parameters (Å, degrees): 4.4230 4.4230 4.4230 60.00 60.00 60.00
Element x y z (fractional)
As  0.2500  0.2500  0.2500
W  0.5000  0.5000  0.5000
Pt  0.7500  0.7500  0.7500
Pt  0.0000  0.0000  0.0000

Summary:
- VASP energy: -57.4561 eV per atom



# YAsPt2

A crystal of YAsPt2 relaxed with PBEsol (meta-GGA SCAN, the Alexandria database).

Lattice parameters (Å, degrees): 3.5886 3.5886 5.6470 90.00 90.00 90.00
Element x y z (fractional)
As  0.5000  0.5000  0.5000
Pt  0.0000  0.0000  0.2594
Pt  0.0000  0.0000  0.7406
Y  0.5000  0.5000  0.0000

Summary:
- VASP energy: -47.9428 eV per atom



# Y2AsPt

A crystal of Y2AsPt relaxed with PBEsol (meta-GGA SCAN, the Alexandria database).

Lattice parameters (Å, degrees): 4.9428 4.9309 4.9309 59.87 59.92 59.92
Element x y z (fractional)
As  0.0000  0.5000  0.5000
Y  0.2502  0.7498  0.7498
Y  0.7498  0.2502  0.2502
Pt  0.5000  0.0000  0.0000

Summary:
- VASP energy: -37.7399 eV per atom



# YAsPt2

A crystal of YAsPt2 relaxed with PBEsol (meta-GGA SCAN, the Alexandria database).

Lattice parameters (Å, degrees): 4.6532 4.6532 4.6532 60.00 60.00 60.00
Element x y z (fractional)
As  0.5000  0.5000  0.5000
Pt  0.7500  0.7500  0.7500
Y  0.2500  0.2500  0.2500
Pt  0.0000  0.0000  0.0000

Summary:
- VASP energy: -47.7678 eV per atom



# Y2AsPt

A crystal of Y2AsPt relaxed with PBEsol (meta-GGA SCAN, the Alexandria database).

Lattice parameters (Å, degrees): 4.0300 4.0300 7.0800 73.46 73.46 60.00
Element x y z (fractional)
Y  0.7491  0.7491  0.7527
Pt  0.0000  0.0000  0.0000
As  0.5000  0.5000  0.5000
Y  0.2509  0.2509  0.2473

Summary:
- VASP energy: -37.9577 eV per atom



# YAsPt2

A crystal of YAsPt2 relaxed with PBEsol (meta-GGA SCAN, the Alexandria database).

Lattice parameters (Å, degrees): 3.4961 4.4660 4.9675 90.00 91.42 90.00
Element x y z (fractional)
Pt  0.9965  0.0000  0.9699
Pt  0.9685  0.5000  0.2843
Y  0.4929  0.0000  0.4749
As  0.0421  0.5000  0.7708

Summary:
- VASP energy: -48.1102 eV per atom